1.
Below is a relaxed Ba2MoP crystal, with properties calculated at the PBE level.

a = 4.2405 Å, b = 4.9643 Å, c = 12.1383 Å
α = 90.00°, β = 90.00°, γ = 90.00°
Closest atoms and distances in Å follow each position.
Fractional coordinates of all 8 atoms:
Ba 0.0000 0.0000 0.0000  2 Mo 3.33, 4 P 3.45
Ba 0.0000 0.5000 0.5000  2 Mo 3.33, 4 P 3.45
Ba 0.5000 0.0000 0.2840  3 P 3.40-3.74, 4 Mo 3.49
Ba 0.5000 0.5000 0.7840  3 P 3.40-3.74, 4 Mo 3.49
Mo 0.0000 0.0000 0.6825  2 P 2.39
Mo 0.0000 0.5000 0.1825  2 P 2.39
P 0.5000 0.0000 0.5925  2 Mo 2.39
P 0.5000 0.5000 0.0925  2 Mo 2.39

## Properties
As for the density of states at the Fermi level: 1.2051 states/eV/atom. The value obtained for the formation energy is -0.1 eV/f.u. The uncorrected energy is -5.04 eV per atom. The value obtained for the calculated density is 5.22 Mg/m³. The calculation puts the total magnetization at 0.8 Bohr magnetons per cell.

***

2.
Below is a relaxed ErTh2Al4 crystal, with properties calculated at the PBE level.

a = 5.1215 Å, b = 5.1215 Å, c = 15.6393 Å
α = 90.00°, β = 90.00°, γ = 90.00°
Closest atoms and distances in Å follow each position.
Fractional coordinates of all 14 atoms:
Er 0.0000 0.0000 0.0000  6 Al 2.56-2.82
Er 0.5000 0.5000 0.5000  6 Al 2.56-2.82
Th 0.0000 0.0000 0.3788  5 Al 3.11-3.19
Th 0.0000 0.0000 0.6212  5 Al 3.11-3.19
Th 0.5000 0.5000 0.1212  5 Al 3.11-3.19
Th 0.5000 0.5000 0.8788  5 Al 3.11-3.19
Al 0.0000 0.0000 0.1801  1 Er 2.82, 1 Th 3.11
Al 0.0000 0.0000 0.8199  1 Er 2.82, 1 Th 3.11
Al 0.0000 0.5000 0.0000  2 Er 2.56
Al 0.0000 0.5000 0.5000  2 Er 2.56
Al 0.5000 0.0000 0.0000  2 Er 2.56
Al 0.5000 0.0000 0.5000  2 Er 2.56
Al 0.5000 0.5000 0.3199  1 Er 2.82, 1 Th 3.11
Al 0.5000 0.5000 0.6801  1 Er 2.82, 1 Th 3.11

## Properties
As for the density of states at the Fermi level: 1.0383 states/eV/atom. The value obtained for the formation energy is 2.9 eV/f.u. The uncorrected energy is -4.49 eV per atom. The value obtained for the calculated density is 5.98 Mg/m³. The calculation puts the total magnetization at 0.0 Bohr magnetons per cell.

***

3.
Below is a relaxed SiPb crystal, with properties calculated at the PBE level.

a = 6.4224 Å, b = 3.7204 Å, c = 9.2502 Å
α = 90.00°, β = 104.03°, γ = 90.00°
Closest atoms and distances in Å follow each position.
Fractional coordinates of all 8 atoms:
Si 0.0000 0.0000 0.0000  3 Si 2.33
Si 0.2015 0.5000 0.1010  3 Si 2.33
Si 0.5000 0.5000 0.0000  3 Si 2.33
Si 0.7015 0.0000 0.1010  3 Si 2.33
Pb 0.1253 0.0000 0.3602  4 Si 3.16-3.23
Pb 0.3949 0.5000 0.6855  1 Si 2.82
Pb 0.6253 0.5000 0.3602  4 Si 3.16-3.23
Pb 0.8949 0.0000 0.6855  1 Si 2.82

## Properties
For the raw formation energy, the calculation gives 0.198 eV/atom. As for the density of states at the Fermi level: 0.3387 states/eV/atom. The uncorrected energy is -4.37 eV per atom. The value obtained for the calculated density is 7.29 Mg/m³. The calculation puts the total magnetization at 0.0 Bohr magnetons per cell.

***

4.
Below is a relaxed TaCrB2 crystal, with properties calculated at the PBE level.

a = 4.6227 Å, b = 4.6227 Å, c = 10.1121 Å
α = 90.00°, β = 90.00°, γ = 90.00°
Closest atoms and distances in Å follow each position.
Fractional coordinates of all 16 atoms:
Ta 0.0000 0.0000 0.0000  4 B 2.19
Ta 0.0000 0.5000 0.2500  4 B 2.19
Ta 0.5000 0.0000 0.7500  4 B 2.19
Ta 0.5000 0.5000 0.5000  4 B 2.19
Cr 0.0000 0.0000 0.5000  4 B 1.96
Cr 0.0000 0.5000 0.7500  4 B 1.96
Cr 0.5000 0.0000 0.2500  4 B 1.96
Cr 0.5000 0.5000 0.0000  4 B 1.96
B 0.2053 0.2500 0.6250  2 Cr 1.96, 2 Ta 2.19
B 0.2500 0.7053 0.8750  2 Cr 1.96, 2 Ta 2.19
B 0.2500 0.7947 0.3750  2 Cr 1.96, 2 Ta 2.19
B 0.2947 0.2500 0.1250  2 Cr 1.96, 2 Ta 2.19
B 0.7053 0.7500 0.1250  2 Cr 1.96, 2 Ta 2.19
B 0.7500 0.2053 0.3750  2 Cr 1.96, 2 Ta 2.19
B 0.7500 0.2947 0.8750  2 Cr 1.96, 2 Ta 2.19
B 0.7947 0.7500 0.6250  2 Cr 1.96, 2 Ta 2.19

## Properties
As for the density of states at the Fermi level: 0.6912 states/eV/atom. The value obtained for the formation energy is 3.1 eV/f.u. The uncorrected energy is -7.93 eV per atom. The value obtained for the calculated density is 7.82 Mg/m³. The calculation puts the total magnetization at 3.0 Bohr magnetons per cell.